# PBE Sr2AgPt4Pb3, optimized geometry
# Energy in eV per cell: -45.91
# Formation energy from the elements in eV/atom: -0.441
data_Sr2AgPt4Pb3
_chemical_formula_sum 'Sr2 Ag1 Pt4 Pb3'
_symmetry_space_group_name_H-M 'P 1'
_symmetry_Int_Tables_number 1
_cell_length_a 4.624
_cell_length_b 4.624
_cell_length_c 11.548
_cell_angle_alpha 90.00
_cell_angle_beta 90.00
_cell_angle_gamma 90.00
loop_
_symmetry_equiv_pos_as_xyz
'x,y,z'
loop_
_atom_site_label
_atom_site_fract_x
_atom_site_fract_y
_atom_site_fract_z
Sr1 0.000 0.500 0.245
Sr2 0.500 0.000 0.755
Ag1 0.500 0.500 0.000
Pt1 0.000 0.000 0.500
Pt2 0.000 0.500 0.862
Pt3 0.500 0.000 0.138
Pt4 0.500 0.500 0.500
Pb1 0.000 0.000 0.000
Pb2 0.000 0.500 0.628
Pb3 0.500 0.000 0.372

***

# PBE ScReAg2, optimized geometry
# Energy in eV per cell: -22.91
# Energy above the lowest structure with this stoichiometry in meV per atom: 196
# Formation energy from the elements in eV/atom: 0.393
data_ScReAg2
_chemical_formula_sum 'Sc1 Re1 Ag2'
_symmetry_space_group_name_H-M 'P 1'
_symmetry_Int_Tables_number 1
_cell_length_a 5.108
_cell_length_b 5.108
_cell_length_c 5.108
_cell_angle_alpha 132.93
_cell_angle_beta 132.93
_cell_angle_gamma 68.76
loop_
_symmetry_equiv_pos_as_xyz
'x,y,z'
loop_
_atom_site_label
_atom_site_fract_x
_atom_site_fract_y
_atom_site_fract_z
Sc1 0.000 0.000 0.000
Re1 0.750 0.250 0.500
Ag1 0.250 0.750 0.500
Ag2 0.500 0.500 0.000

***

# PBE Pa4TcPS2, optimized geometry
# Energy in eV per cell: -70.85
# Uncorrected formation energy in eV/atom: -1.11
data_Pa4TcPS2
_chemical_formula_sum 'Pa4 Tc1 P1 S2'
_symmetry_space_group_name_H-M 'P 1'
_symmetry_Int_Tables_number 1
_cell_length_a 6.869
_cell_length_b 3.853
_cell_length_c 6.921
_cell_angle_alpha 90.00
_cell_angle_beta 107.88
_cell_angle_gamma 90.00
loop_
_symmetry_equiv_pos_as_xyz
'x,y,z'
loop_
_atom_site_label
_atom_site_fract_x
_atom_site_fract_y
_atom_site_fract_z
Pa1 0.244 0.000 0.244
Pa2 0.246 0.500 0.754
Pa3 0.754 0.500 0.246
Pa4 0.756 0.000 0.756
Tc1 0.000 0.500 0.000
P1 0.000 0.000 0.500
S1 0.500 0.000 0.000
S2 0.500 0.500 0.500

***

# PBE Li3Pr2PaS6, optimized geometry
# Energy in eV per cell: -69.41
# Uncorrected formation energy in eV/atom: -1.65
data_Li3Pr2PaS6
_chemical_formula_sum 'Li3 Pr2 Pa1 S6'
_symmetry_space_group_name_H-M 'P 1'
_symmetry_Int_Tables_number 1
_cell_length_a 6.945
_cell_length_b 6.945
_cell_length_c 6.642
_cell_angle_alpha 99.87
_cell_angle_beta 99.87
_cell_angle_gamma 120.21
loop_
_symmetry_equiv_pos_as_xyz
'x,y,z'
loop_
_atom_site_label
_atom_site_fract_x
_atom_site_fract_y
_atom_site_fract_z
Li1 0.000 0.000 0.000
Li2 0.343 0.657 0.000
Li3 0.657 0.343 0.000
Pr1 0.168 0.832 0.500
Pr2 0.832 0.168 0.500
Pa1 0.500 0.500 0.500
S1 0.099 0.413 0.238
S2 0.267 0.267 0.756
S3 0.413 0.099 0.238
S4 0.587 0.901 0.762
S5 0.733 0.733 0.244
S6 0.901 0.587 0.762